# 1
A plane-wave DFT calculation with PBE-GGA was carried out for Y3Tm4Pt4 after structural relaxation.

a = 4.394 Å, b = 7.997 Å, c = 8.902 Å
α = 116.69°, β = 104.29°, γ = 90.00°
Sites, in units of the cell vectors:
Tm 0.330 0.534 0.660
Tm 0.670 0.466 0.340
Tm 0.330 0.126 0.660
Tm 0.670 0.874 0.340
Pt 0.217 0.717 0.434
Pt 0.783 0.283 0.566
Pt 0.500 0.184 0.000
Pt 0.500 0.816 0.000
Y 0.000 0.500 0.000
Y 0.103 0.103 0.207
Y 0.897 0.897 0.793

Output
E_form, eV per atom: -0.94
Total magnetization, μB/f.u.: 0.000

=====

# 2
A plane-wave DFT calculation with PBE-GGA was carried out for YTmPt6 after structural relaxation.

a = 4.110 Å, b = 4.110 Å, c = 8.214 Å
α = 90.00°, β = 90.00°, γ = 90.00°
Sites, in units of the cell vectors:
Pt 0.000 0.500 0.253
Pt 0.500 0.500 0.500
Pt 0.500 0.000 0.747
Pt 0.500 0.500 0.000
Pt 0.500 0.000 0.253
Pt 0.000 0.500 0.747
Tm 0.000 0.000 0.500
Y 0.000 0.000 0.000

Output
E_form, eV per atom: -1.04
Total magnetization, μB/f.u.: 0.000

=====

# 3
A plane-wave DFT calculation with PBE-GGA was carried out for YTm2Pt after structural relaxation.

a = 3.878 Å, b = 3.878 Å, c = 9.241 Å
α = 77.89°, β = 77.89°, γ = 60.00°
Sites, in units of the cell vectors:
Y 0.502 0.502 0.495
Tm 0.272 0.272 0.183
Tm 0.060 0.060 0.820
Pt 0.666 0.666 0.003

Output
Energy above the lowest structure with this stoichiometry, eV/atom: 0.189
E_form, eV per atom: -0.55
Total magnetization, μB/f.u.: 0.002

=====

# 4
A plane-wave DFT calculation with PBE-GGA was carried out for YTmZnPt after structural relaxation.

a = 3.529 Å, b = 3.529 Å, c = 6.925 Å
α = 90.00°, β = 90.00°, γ = 90.00°
Sites, in units of the cell vectors:
Tm 0.500 0.500 0.615
Pt 0.000 0.000 0.846
Zn 0.000 0.000 0.365
Y 0.500 0.500 0.102

Output
Energy above the lowest structure with this stoichiometry, eV/atom: 0.000
E_form, eV per atom: -0.83
Total magnetization, μB/f.u.: 0.000

=====

# 5
A plane-wave DFT calculation with PBE-GGA was carried out for YTmZnPt after structural relaxation.

a = 4.958 Å, b = 4.958 Å, c = 4.958 Å
α = 60.00°, β = 60.00°, γ = 60.00°
Sites, in units of the cell vectors:
Tm 0.000 0.000 0.000
Y 0.500 0.500 0.500
Zn 0.250 0.250 0.250
Pt 0.750 0.750 0.750

Output
Energy above the lowest structure with this stoichiometry, eV/atom: 0.017
E_form, eV per atom: -0.81
Total magnetization, μB/f.u.: 0.000

=====

# 6
A plane-wave DFT calculation with PBE-GGA was carried out for YbTmPt2 after structural relaxation.

a = 4.885 Å, b = 4.885 Å, c = 4.885 Å
α = 60.00°, β = 60.00°, γ = 60.00°
Sites, in units of the cell vectors:
Pt 0.250 0.250 0.250
Pt 0.750 0.750 0.750
Tm 0.500 0.500 0.500
Yb 0.000 0.000 0.000

Output
E_form, eV per atom: -1.17
Total magnetization, μB/f.u.: 0.240

=====

# 7
A plane-wave DFT calculation with PBE-GGA was carried out for TmZnPt after structural relaxation.

a = 4.538 Å, b = 4.538 Å, c = 4.538 Å
α = 60.00°, β = 60.00°, γ = 60.00°
Sites, in units of the cell vectors:
Zn 0.000 0.000 0.000
Tm 0.500 0.500 0.500
Pt 0.250 0.250 0.250

Output
E_form, eV per atom: -0.83
Total magnetization, μB/f.u.: 0.000

=====

# 8
A plane-wave DFT calculation with PBE-GGA was carried out for Tm3ZnPt3 after structural relaxation.

a = 5.553 Å, b = 8.454 Å, c = 8.454 Å
α = 120.00°, β = 90.00°, γ = 90.00°
Sites, in units of the cell vectors:
Pt 0.250 0.970 0.338
Pt 0.750 0.338 0.368
Pt 0.250 0.662 0.632
Pt 0.250 0.368 0.030
Pt 0.750 0.030 0.662
Pt 0.750 0.632 0.970
Tm 0.750 0.973 0.295
Tm 0.750 0.322 0.027
Tm 0.250 0.295 0.322
Tm 0.750 0.705 0.678
Tm 0.250 0.678 0.973
Tm 0.250 0.027 0.705
Zn 0.750 0.333 0.667
Zn 0.250 0.667 0.333

Output
Energy above the lowest structure with this stoichiometry, eV/atom: 0.231
E_form, eV per atom: -0.91
Total magnetization, μB/f.u.: 0.000

=====

# 9
A plane-wave DFT calculation with PBE-GGA was carried out for TmZnPt3 after structural relaxation.

a = 6.411 Å, b = 6.411 Å, c = 6.411 Å
α = 106.98°, β = 129.48°, γ = 94.14°
Sites, in units of the cell vectors:
Zn 0.500 0.000 0.500
Zn 0.500 0.500 0.000
Pt 0.000 0.690 0.190
Pt 0.316 0.066 0.750
Pt 0.684 0.934 0.250
Pt 0.000 0.310 0.810
Pt 0.500 0.690 0.690
Pt 0.500 0.310 0.310
Tm 0.995 0.745 0.750
Tm 0.005 0.255 0.250

Output
E_form, eV per atom: -0.77
Total magnetization, μB/f.u.: 0.000

=====

# 10
A plane-wave DFT calculation with PBE-GGA was carried out for Tm2ZnPt6 after structural relaxation.

a = 3.840 Å, b = 7.906 Å, c = 7.360 Å
α = 122.49°, β = 105.06°, γ = 90.00°
Sites, in units of the cell vectors:
Tm 0.658 0.656 0.311
Tm 0.342 0.344 0.689
Pt 0.165 0.930 0.328
Pt 0.165 0.398 0.328
Pt 0.835 0.602 0.672
Pt 0.500 0.224 0.000
Pt 0.835 0.070 0.672
Pt 0.500 0.776 0.000
Zn 0.000 0.000 0.000

Output
E_form, eV per atom: -0.72
Total magnetization, μB/f.u.: 0.000

=====

# 11
A plane-wave DFT calculation with PBE-GGA was carried out for TmZnPt6 after structural relaxation.

a = 4.037 Å, b = 4.037 Å, c = 7.937 Å
α = 90.00°, β = 90.00°, γ = 90.00°
Sites, in units of the cell vectors:
Zn 0.000 0.000 0.500
Tm 0.000 0.000 0.000
Pt 0.500 0.500 0.500
Pt 0.000 0.500 0.262
Pt 0.000 0.500 0.738
Pt 0.500 0.000 0.738
Pt 0.500 0.500 0.000
Pt 0.500 0.000 0.262

Output
Energy above the lowest structure with this stoichiometry, eV/atom: 0.000
E_form, eV per atom: -0.71
Total magnetization, μB/f.u.: 0.000

=====

# 12
A plane-wave DFT calculation with PBE-GGA was carried out for TmZn6Pt4 after structural relaxation.

a = 6.643 Å, b = 6.643 Å, c = 6.643 Å
α = 90.03°, β = 119.98°, γ = 119.98°
Sites, in units of the cell vectors:
Zn 0.670 0.132 0.132
Zn 0.500 0.000 0.500
Zn 0.000 0.868 0.538
Zn 0.000 0.538 0.868
Zn 0.330 0.462 0.462
Zn 0.500 0.500 0.000
Pt 0.385 0.767 0.767
Pt 0.000 0.617 0.233
Pt 0.615 0.383 0.383
Pt 0.000 0.233 0.617
Tm 0.000 0.000 0.000

Output
E_form, eV per atom: -0.47
Total magnetization, μB/f.u.: 0.000

=====

# 13
A plane-wave DFT calculation with PBE-GGA was carried out for Tm2Zn9Pt3 after structural relaxation.

a = 7.723 Å, b = 7.723 Å, c = 10.291 Å
α = 89.13°, β = 110.98°, γ = 122.90°
Sites, in units of the cell vectors:
Zn 0.253 0.546 0.599
Zn 0.694 0.741 0.754
Zn 0.747 0.454 0.401
Zn 0.806 0.304 0.926
Zn 0.306 0.259 0.246
Zn 0.878 0.880 0.574
Zn 0.458 0.818 0.447
Zn 0.553 0.346 0.099
Zn 0.122 0.120 0.426
Zn 0.913 0.163 0.750
Zn 0.513 0.060 0.254
Zn 0.542 0.182 0.553
Zn 0.129 0.990 0.947
Zn 0.487 0.940 0.746
Zn 0.087 0.837 0.250
Zn 0.194 0.696 0.074
Zn 0.447 0.654 0.901
Zn 0.871 0.010 0.053
Pt 0.135 0.808 0.511
Pt 0.796 0.624 0.989
Pt 0.500 0.000 0.000
Pt 0.865 0.192 0.489
Pt 0.500 0.500 0.500
Pt 0.204 0.376 0.011
Tm 0.006 0.394 0.262
Tm 0.994 0.606 0.738
Tm 0.368 0.256 0.762
Tm 0.632 0.744 0.238

Output
E_form, eV per atom: -0.53
Total magnetization, μB/f.u.: 0.000

=====

# 14
A plane-wave DFT calculation with PBE-GGA was carried out for Tm2ZnPt9 after structural relaxation.

a = 4.057 Å, b = 4.057 Å, c = 12.021 Å
α = 90.00°, β = 90.00°, γ = 90.00°
Sites, in units of the cell vectors:
Pt 0.500 0.000 0.500
Pt 0.500 0.000 0.844
Pt 0.500 0.000 0.156
Pt 0.500 0.500 0.000
Pt 0.500 0.500 0.672
Pt 0.500 0.500 0.328
Pt 0.000 0.500 0.844
Pt 0.000 0.500 0.500
Pt 0.000 0.500 0.156
Tm 0.000 0.000 0.328
Tm 0.000 0.000 0.672
Zn 0.000 0.000 0.000

Output
E_form, eV per atom: -0.83
Total magnetization, μB/f.u.: 0.000

=====

# 15
A plane-wave DFT calculation with PBE-GGA was carried out for Tm2ZnPt2 after structural relaxation.

a = 5.628 Å, b = 7.139 Å, c = 7.118 Å
α = 120.10°, β = 113.29°, γ = 90.00°
Sites, in units of the cell vectors:
Zn 0.250 0.500 0.000
Zn 0.750 0.500 0.000
Pt 0.393 0.657 0.785
Pt 0.607 0.343 0.215
Pt 0.893 0.128 0.785
Pt 0.107 0.872 0.215
Tm 0.851 0.695 0.703
Tm 0.351 0.008 0.703
Tm 0.649 0.992 0.297
Tm 0.149 0.305 0.297

Output
E_form, eV per atom: -1.00
Total magnetization, μB/f.u.: 0.000

=====

# 16
A plane-wave DFT calculation with PBE-GGA was carried out for TmZn3Pt after structural relaxation.

a = 3.883 Å, b = 3.883 Å, c = 6.601 Å
α = 107.10°, β = 107.10°, γ = 90.00°
Sites, in units of the cell vectors:
Tm 0.026 0.026 0.053
Zn 0.269 0.769 0.537
Zn 0.769 0.269 0.537
Zn 0.409 0.409 0.817
Pt 0.618 0.618 0.236

Output
E_form, eV per atom: -0.58
Total magnetization, μB/f.u.: 0.000

=====

# 17
A plane-wave DFT calculation with PBE-GGA was carried out for TmZn3Pt3 after structural relaxation.

a = 6.793 Å, b = 6.793 Å, c = 6.793 Å
α = 90.00°, β = 90.00°, γ = 90.00°
Sites, in units of the cell vectors:
Zn 0.250 0.500 0.000
Zn 0.000 0.250 0.500
Zn 0.500 0.000 0.750
Zn 0.500 0.000 0.250
Zn 0.000 0.750 0.500
Zn 0.750 0.500 0.000
Pt 0.750 0.000 0.500
Pt 0.250 0.000 0.500
Pt 0.500 0.250 0.000
Pt 0.000 0.500 0.250
Pt 0.500 0.750 0.000
Pt 0.000 0.500 0.750
Tm 0.000 0.000 0.000
Tm 0.500 0.500 0.500

Output
E_form, eV per atom: 0.00
Total magnetization, μB/f.u.: 0.000

=====

# 18
A plane-wave DFT calculation with PBE-GGA was carried out for TmZnPt after structural relaxation.

a = 3.422 Å, b = 4.428 Å, c = 4.428 Å
α = 120.00°, β = 90.00°, γ = 90.00°
Sites, in units of the cell vectors:
Pt 0.167 0.333 0.667
Tm 0.667 0.667 0.333
Zn 0.167 0.000 0.000

Output
E_form, eV per atom: -0.88
Total magnetization, μB/f.u.: 0.000

=====

# 19
A plane-wave DFT calculation with PBE-GGA was carried out for Tm4ZnPt7 after structural relaxation.

a = 5.028 Å, b = 9.026 Å, c = 6.142 Å
α = 82.03°, β = 65.83°, γ = 73.83°
Sites, in units of the cell vectors:
Pt 0.500 0.000 0.000
Pt 0.633 0.469 0.265
Pt 0.211 0.099 0.479
Pt 0.921 0.295 0.863
Pt 0.079 0.705 0.137
Pt 0.367 0.531 0.735
Pt 0.789 0.901 0.521
Tm 0.761 0.650 0.829
Tm 0.407 0.783 0.403
Tm 0.593 0.217 0.597
Tm 0.239 0.350 0.171
Zn 0.000 0.000 0.000

Output
E_form, eV per atom: -0.95
Total magnetization, μB/f.u.: 0.000

=====

# 20
A plane-wave DFT calculation with PBE-GGA was carried out for Tm3ZnPt12 after structural relaxation.

a = 4.067 Å, b = 4.067 Å, c = 16.095 Å
α = 90.00°, β = 90.00°, γ = 90.00°
Sites, in units of the cell vectors:
Pt 0.500 0.500 0.000
Pt 0.500 0.000 0.116
Pt 0.500 0.000 0.372
Pt 0.000 0.500 0.372
Pt 0.500 0.500 0.756
Pt 0.000 0.500 0.116
Pt 0.500 0.000 0.884
Pt 0.000 0.500 0.884
Pt 0.000 0.500 0.628
Pt 0.500 0.000 0.628
Pt 0.500 0.500 0.500
Pt 0.500 0.500 0.244
Tm 0.000 0.000 0.244
Tm 0.000 0.000 0.500
Tm 0.000 0.000 0.756
Zn 0.000 0.000 0.000

Output
E_form, eV per atom: -0.89
Total magnetization, μB/f.u.: 0.000

=====

Number 1: final energy -71.782 eV for the cell shown. Number 2: final energy -55.538 eV for the cell shown. Number 3: final energy -23.651 eV for the cell shown. Number 4: final energy -21.555 eV for the cell shown. Number 5: final energy -21.487 eV for the cell shown. Number 6: final energy -22.758 eV for the cell shown. Number 7: final energy -14.284 eV for the cell shown. Number 8: final energy -78.329 eV for the cell shown. Number 9: final energy -55.443 eV for the cell shown. Number 10: final energy -52.906 eV for the cell shown. Number 11: final energy -47.666 eV for the cell shown. Number 12: final energy -41.502 eV for the cell shown. Number 13: final energy -92.006 eV for the cell shown. Number 14: final energy -74.526 eV for the cell shown. Number 15: final energy -54.570 eV for the cell shown. Number 16: final energy -17.210 eV for the cell shown. Number 17: final energy -52.826 eV for the cell shown. Number 18: final energy -14.439 eV for the cell shown. Number 19: final energy -72.801 eV for the cell shown. Number 20: final energy -101.480 eV for the cell shown.